[1]
# Th2ZnCuRu, relaxed, DFT PBE
# * electronic total energy: -6.181 eV per atom
# * spin magnetization: 0.000 μB per formula unit
# * calculated formation energy: -0.2841 eV per atom
# * D(E_F): 0.828 states/eV/atom
data_Th2ZnCuRu
_space_group_name_H-M_alt 'P 1 21/m 1'
_space_group_IT_number 11
_cell_length_a 7.0240
_cell_length_b 4.2362
_cell_length_c 7.6563
_cell_angle_alpha 90.00
_cell_angle_beta 104.56
_cell_angle_gamma 90.00
loop_
_space_group_symop_operation_xyz
'x,y,z'
'-x,-y,-z'
'-x,y+1/2,-z'
'x,-y+1/2,z'
loop_
_atom_site_label
_atom_site_fract_x
_atom_site_fract_y
_atom_site_fract_z
Th1 0.1338 0.2500 0.3503
Th2 0.2860 0.2500 0.9314
Zn1 0.3486 0.7500 0.6512
Cu1 0.4604 0.7500 0.3561
Ru1 0.1422 0.7500 0.0955

=====

[2]
# Si3C, relaxed, DFT PBE
# * electronic total energy: -5.774 eV per atom
# * spin magnetization: 0.000 μB per formula unit
# * formation energy (no corrections): 0.60 eV/atom
# * D(E_F): 0.381 states/eV/atom
data_Si3C
_space_group_name_H-M_alt 'R -3 m'
_space_group_IT_number 166
_space_group_name_Hall '-R 3 2"'
_cell_length_a 2.9899
_cell_length_b 2.9899
_cell_length_c 18.1449
_cell_angle_alpha 90.00
_cell_angle_beta 90.00
_cell_angle_gamma 120.00
loop_
_atom_site_label
_atom_site_fract_x
_atom_site_fract_y
_atom_site_fract_z
Si1 0.0000 0.0000 0.0000
Si2 0.0000 0.0000 0.2311
C1 0.0000 0.0000 0.5000

=====

[3]
# HoErZnGe, relaxed, DFT PBE
# * electronic total energy: -4.276 eV per atom
# * spin magnetization: 0.000 μB per formula unit
# * calculated formation energy: -0.5180 eV per atom
# * D(E_F): 0.586 states/eV/atom
data_HoErZnGe
_space_group_name_H-M_alt 'F -4 3 m'
_space_group_IT_number 216
_space_group_name_Hall 'F -4 2 3'
_cell_length_a 7.0482
_cell_length_b 7.0482
_cell_length_c 7.0482
_cell_angle_alpha 90.00
_cell_angle_beta 90.00
_cell_angle_gamma 90.00
loop_
_atom_site_label
_atom_site_fract_x
_atom_site_fract_y
_atom_site_fract_z
Ho1 0.0000 0.0000 0.0000
Er1 0.0000 0.0000 0.5000
Zn1 0.2500 0.2500 0.2500
Ge1 0.2500 0.2500 0.7500